Record 1
This record from the Alexandria database describes a relaxed NaSmAgBi crystal. The functional is PBE-GGA.

For the formation energy, the calculation gives -382.0 meV per atom. As for the calculated total energy: -3.575 eV per atom.

It has space group F-43m (No. 216), with a = 7.554 Å, b = 7.554 Å, c = 7.554 Å, α = 90.00°, β = 90.00° and γ = 90.00°. The distinct sites, in fractional coordinates, are Na at (0.000, 0.000, 0.000), Sm at (0.000, 0.000, 0.500), Ag at (0.250, 0.250, 0.750) and Bi at (0.250, 0.250, 0.250).


Record 2
This record from the Alexandria database describes a relaxed ZrCoAu crystal. The functional is PBE-GGA.

For the formation energy, the calculation gives -318.4 meV per atom. As for the calculated total energy: -6.629 eV per atom.

It has space group Cm (No. 8), with a = 9.432 Å, b = 4.132 Å, c = 5.302 Å, α = 90.00°, β = 95.08° and γ = 90.00°. The distinct sites, in fractional coordinates, are Zr at (0.000, 0.000, 0.000), Zr at (0.094, 0.500, 0.509), Co at (0.350, 0.000, 0.240), Co at (0.409, 0.500, 0.464), Au at (0.203, 0.500, 0.033) and Au at (0.314, 0.000, 0.727).


Record 3
This record from the Alexandria database describes a relaxed MgCu2OsCl crystal. The functional is PBE-GGA.

As for the calculated total energy: -3.015 eV per atom.

It has space group P4/mmm (No. 123), with a = 4.665 Å, b = 4.665 Å, c = 4.825 Å, α = 90.00°, β = 90.00° and γ = 90.00°. The distinct sites, in fractional coordinates, are Mg at (0.000, 0.000, 0.000), Cu at (0.000, 0.500, 0.000), Os at (0.000, 0.000, 0.500) and Cl at (0.500, 0.500, 0.500).


Record 4
This record from the Alexandria database describes a relaxed ScBeIr2Pt crystal. The functional is PBE-GGA.

For the formation energy, the calculation gives 1540.4 meV per atom. As for the calculated total energy: -5.224 eV per atom.

It has space group P4/mmm (No. 123), with a = 4.601 Å, b = 4.601 Å, c = 4.383 Å, α = 90.00°, β = 90.00° and γ = 90.00°. The distinct sites, in fractional coordinates, are Sc at (0.000, 0.000, 0.000), Be at (0.000, 0.000, 0.500), Ir at (0.000, 0.500, 0.000) and Pt at (0.500, 0.500, 0.500).


Record 5
This record from the Alexandria database describes a relaxed Mg2SeS6 crystal. The functional is PBE-GGA.

As for the calculated total energy: -3.869 eV per atom.

It has space group P-1 (No. 2), with a = 3.987 Å, b = 7.852 Å, c = 8.014 Å, α = 110.87°, β = 94.35° and γ = 100.78°. The distinct sites, in fractional coordinates, are Mg at (0.060, 0.060, 0.242), Se at (0.500, 0.000, 0.000), S at (0.117, 0.287, 0.808), S at (0.233, 0.618, 0.301) and S at (0.347, 0.764, 0.581).


Record 6
This record from the Alexandria database describes a relaxed La4Tb3ThS8 crystal. The functional is PBE-GGA.

As for the calculated total energy: -6.693 eV per atom.

It has space group R-3m (No. 166, hexagonal axes), with a = 8.0896 Å, b = 8.0896 Å, c = 19.9849 Å, α = 90.00°, β = 90.00° and γ = 120.00°. The distinct sites, in fractional coordinates, are La at (0.0000, 0.0000, 0.0000), La at (0.0000, 0.5000, 0.0000), Tb at (0.0000, 0.5000, 0.5000), Th at (0.0000, 0.0000, 0.5000), S at (0.0000, 0.0000, 0.2438) and S at (0.0052, 0.5026, 0.7551).


Record 7
This record from the Alexandria database describes a relaxed Li2CuMoPd crystal. The functional is PBE-GGA.

For the formation energy, the calculation gives 1373.0 meV per atom. As for the calculated total energy: -3.417 eV per atom.

It has space group P4/mmm (No. 123), with a = 4.859 Å, b = 4.859 Å, c = 4.716 Å, α = 90.00°, β = 90.00° and γ = 90.00°. The distinct sites, in fractional coordinates, are Li at (0.000, 0.500, 0.000), Cu at (0.000, 0.000, 0.500), Mo at (0.500, 0.500, 0.000) and Pd at (0.500, 0.500, 0.500).


Record 8
This record from the Alexandria database describes a relaxed Th2Ga3Cu12Pd crystal. The functional is PBE-GGA.

For the formation energy, the calculation gives 45.8 meV per atom. As for the calculated total energy: -4.302 eV per atom.

It has space group R-3m (No. 166, hexagonal axes), with a = 5.3508 Å, b = 5.3508 Å, c = 35.5424 Å, α = 90.00°, β = 90.00° and γ = 120.00°. The distinct sites, in fractional coordinates, are Th at (0.0000, 0.0000, 0.1411), Ga at (0.0000, 0.5000, 0.0000), Cu at (0.0027, 0.5013, 0.1070), Cu at (0.0217, 0.5109, 0.6119) and Pd at (0.0000, 0.0000, 0.5000).